1.
This record from Alexandria via LeMat-Bulk describes a geometry-optimized Pm5Cu4Hg structure. The functional is PBE-GGA. Values from VASP.

The structure in Quantum ESPRESSO input format:
```
&SYSTEM
  ibrav = 0, nat = 10, ntyp = 3
/
ATOMIC_SPECIES
Pm 145.00 Pm.upf
Cu 63.55 Cu.upf
Hg 200.59 Hg.upf
ATOMIC_POSITIONS crystal
Pm 0.500 0.500 0.114
Cu 0.000 0.000 0.403
Hg 0.000 0.000 0.000
Pm 0.500 0.500 0.306
Cu 0.000 0.000 0.211
Pm 0.500 0.500 0.886
Pm 0.500 0.500 0.500
Cu 0.000 0.000 0.597
Pm 0.500 0.500 0.694
Cu 0.000 0.000 0.789
CELL_PARAMETERS angstrom
-2.497 -0.755 -2.471
-1.249 -2.656 2.073
-11.541 11.733 8.076
```

Properties
The formation energy comes out at -221 meV per atom. Its total magnetization is 0.09 μB/f.u. As for the final energy: -4.2646 eV/atom.

2.
This record from Alexandria via LeMat-Bulk describes a geometry-optimized Pm2Cu2Hg3 structure. The functional is PBE-GGA. Values from VASP.

The structure in Quantum ESPRESSO input format:
```
&SYSTEM
  ibrav = 0, nat = 7, ntyp = 3
/
ATOMIC_SPECIES
Hg 200.59 Hg.upf
Pm 145.00 Pm.upf
Cu 63.55 Cu.upf
ATOMIC_POSITIONS crystal
Hg 0.500 0.421 0.842
Hg 0.000 0.000 0.000
Pm 0.000 0.832 0.664
Cu 0.500 0.718 0.437
Hg 0.500 0.579 0.158
Pm 0.000 0.168 0.336
Cu 0.500 0.282 0.563
CELL_PARAMETERS angstrom
3.796 0.000 0.000
0.000 4.331 0.000
0.000 -2.165 9.988
```

Properties
The formation energy comes out at -265 meV per atom. Its total magnetization is 0.00 μB/f.u. As for the final energy: -2.9225 eV/atom.

3.
This record from Alexandria via LeMat-Bulk describes a geometry-optimized Pm5Cu2Hg2 structure. The functional is PBE-GGA. Values from VASP.

The structure in Quantum ESPRESSO input format:
```
&SYSTEM
  ibrav = 0, nat = 18, ntyp = 3
/
ATOMIC_SPECIES
Pm 145.00 Pm.upf
Cu 63.55 Cu.upf
Hg 200.59 Hg.upf
ATOMIC_POSITIONS crystal
Pm 0.321 0.694 0.739
Pm 0.821 0.545 0.739
Cu 0.123 0.612 0.000
Hg 0.000 0.780 0.560
Hg 0.500 0.720 0.440
Hg 0.500 0.280 0.560
Hg 0.000 0.220 0.440
Pm 0.679 0.045 0.739
Pm 0.500 0.500 0.000
Pm 0.679 0.306 0.261
Pm 0.179 0.455 0.261
Pm 0.321 0.955 0.261
Cu 0.377 0.112 0.000
Cu 0.877 0.388 0.000
Pm 0.179 0.194 0.739
Cu 0.623 0.888 0.000
Pm 0.821 0.806 0.261
Pm 0.000 0.000 0.000
CELL_PARAMETERS angstrom
-4.637 -6.357 -0.600
5.120 -4.037 3.206
-5.948 3.771 6.015
```

Properties
The formation energy comes out at -236 meV per atom. Its total magnetization is 0.00 μB/f.u. As for the final energy: -3.8524 eV/atom.

4.
This record from Alexandria via LeMat-Bulk describes a geometry-optimized PmCuHg structure. The functional is PBE-GGA. Values from VASP.

The structure in Quantum ESPRESSO input format:
```
&SYSTEM
  ibrav = 0, nat = 3, ntyp = 3
/
ATOMIC_SPECIES
Pm 145.00 Pm.upf
Cu 63.55 Cu.upf
Hg 200.59 Hg.upf
ATOMIC_POSITIONS crystal
Pm 0.667 0.667 0.333
Cu 0.167 0.000 0.000
Hg 0.167 0.333 0.667
CELL_PARAMETERS angstrom
-0.176 -0.977 -3.392
2.330 -3.947 1.016
-4.688 0.081 0.220
```

Properties
The formation energy comes out at -313 meV per atom. Its total magnetization is 0.00 μB/f.u. As for the final energy: -3.3622 eV/atom.

5.
This record from Alexandria via LeMat-Bulk describes a geometry-optimized Pm4Cu2Hg5 structure. The functional is PBE-GGA. Values from VASP.

The structure in Quantum ESPRESSO input format:
```
&SYSTEM
  ibrav = 0, nat = 11, ntyp = 3
/
ATOMIC_SPECIES
Cu 63.55 Cu.upf
Hg 200.59 Hg.upf
Pm 145.00 Pm.upf
ATOMIC_POSITIONS crystal
Cu 0.000 0.063 0.624
Hg 0.000 0.843 0.858
Hg 0.000 0.157 0.142
Hg 0.000 0.567 0.334
Pm 0.500 0.236 0.424
Cu 0.000 0.937 0.376
Pm 0.500 0.813 0.145
Hg 0.000 0.433 0.666
Pm 0.500 0.764 0.576
Pm 0.500 0.187 0.855
Hg 0.000 0.500 0.000
CELL_PARAMETERS angstrom
3.824 0.000 0.000
0.000 7.660 0.168
0.000 -0.526 9.474
```

Properties
The formation energy comes out at -355 meV per atom. Its total magnetization is 0.00 μB/f.u. As for the final energy: -2.9645 eV/atom.

6.
This record from Alexandria via LeMat-Bulk describes a geometry-optimized Pm2CuHg structure. The functional is PBE-GGA. Values from VASP.

The structure in Quantum ESPRESSO input format:
```
&SYSTEM
  ibrav = 0, nat = 4, ntyp = 3
/
ATOMIC_SPECIES
Hg 200.59 Hg.upf
Cu 63.55 Cu.upf
Pm 145.00 Pm.upf
ATOMIC_POSITIONS crystal
Hg 0.500 0.500 0.500
Cu 0.500 0.500 0.000
Pm 0.000 0.000 0.771
Pm 0.000 0.000 0.229
CELL_PARAMETERS angstrom
-3.640 0.368 0.165
-0.309 -1.577 -3.291
-0.532 -6.739 3.280
```

Properties
The formation energy comes out at -310 meV per atom. Its total magnetization is 0.00 μB/f.u. As for the final energy: -3.7851 eV/atom.

7.
This record from Alexandria via LeMat-Bulk describes a geometry-optimized PmCu5Hg structure. The functional is PBE-GGA. Values from VASP.

The structure in Quantum ESPRESSO input format:
```
&SYSTEM
  ibrav = 0, nat = 28, ntyp = 3
/
ATOMIC_SPECIES
Cu 63.55 Cu.upf
Hg 200.59 Hg.upf
Pm 145.00 Pm.upf
ATOMIC_POSITIONS crystal
Cu 0.250 0.582 0.016
Cu 0.500 0.432 0.186
Cu 0.000 0.068 0.686
Hg 0.250 0.363 0.635
Hg 0.750 0.137 0.135
Cu 0.750 0.315 0.758
Cu 0.500 0.568 0.814
Cu 0.000 0.932 0.314
Cu 0.250 0.945 0.110
Cu 0.000 0.568 0.814
Cu 0.750 0.918 0.516
Pm 0.750 0.256 0.435
Cu 0.000 0.432 0.186
Hg 0.250 0.863 0.865
Pm 0.250 0.744 0.565
Cu 0.250 0.445 0.390
Cu 0.750 0.418 0.984
Pm 0.250 0.244 0.935
Cu 0.250 0.185 0.258
Cu 0.750 0.055 0.890
Cu 0.750 0.815 0.742
Cu 0.250 0.082 0.484
Cu 0.750 0.555 0.610
Cu 0.500 0.932 0.314
Pm 0.750 0.756 0.065
Hg 0.750 0.637 0.365
Cu 0.250 0.685 0.242
Cu 0.500 0.068 0.686
CELL_PARAMETERS angstrom
-2.452 0.495 4.435
-5.024 -6.358 -2.069
6.731 -6.776 4.477
```

Properties
The formation energy comes out at -172 meV per atom. Its total magnetization is 0.00 μB/f.u. As for the final energy: -3.8192 eV/atom.

8.
This record from Alexandria via LeMat-Bulk describes a geometry-optimized Pm8Cu2Hg structure. The functional is PBE-GGA. Values from VASP.

The structure in Quantum ESPRESSO input format:
```
&SYSTEM
  ibrav = 0, nat = 11, ntyp = 3
/
ATOMIC_SPECIES
Pm 145.00 Pm.upf
Cu 63.55 Cu.upf
Hg 200.59 Hg.upf
ATOMIC_POSITIONS crystal
Pm 0.191 0.395 0.395
Cu 0.501 0.312 0.695
Hg 0.999 0.003 0.003
Cu 0.501 0.695 0.312
Pm 0.583 0.082 0.329
Pm 0.583 0.329 0.082
Pm 0.416 0.678 0.924
Pm 0.808 0.610 0.610
Pm 0.000 0.243 0.762
Pm 0.416 0.924 0.678
Pm 0.000 0.762 0.243
CELL_PARAMETERS angstrom
5.492 0.049 -0.927
-1.905 7.264 -3.216
0.083 -0.243 8.165
```

Properties
The formation energy comes out at -34 meV per atom. Its total magnetization is 0.00 μB/f.u. As for the final energy: -4.2616 eV/atom.

Question: The lowest final energy belongs to which entry?
Answer: Pm5Cu4Hg